Record 1
DFT (PBE) results for an optimized crystal structure of PmSm3P4.

a = 4.1159 Å, b = 7.1234 Å, c = 7.1234 Å
α = 109.45°, β = 90.00°, γ = 90.00°
Closest atoms and distances in Å follow each position.
Fractional coordinates of all 8 atoms:
Pm  0.5000  0.0000  0.0000  6 P 2.91-2.92
Sm  0.0000  0.0000  0.5000  6 P 2.91
Sm  0.5000  0.5000  0.5000  6 P 2.90
Sm  0.0000  0.5000  0.0000  6 P 2.91
P  0.0000  0.2510  0.2510  4 Sm 2.90-2.91, 2 Pm 2.92
P  0.5000  0.7496  0.2504  5 Sm 2.90-2.91, 1 Pm 2.91
P  0.0000  0.7490  0.7490  4 Sm 2.90-2.91, 2 Pm 2.92
P  0.5000  0.2504  0.7496  5 Sm 2.90-2.91, 1 Pm 2.91

Output
SG = No. 65
Relative energy among the computed polymorphs = 0.003 eV/atom

=====

Record 2
DFT (PBE) results for an optimized crystal structure of Nd12FeHg6.

a = 8.4420 Å, b = 8.4420 Å, c = 8.4420 Å
α = 94.28°, β = 94.28°, γ = 94.28°
Closest atoms and distances in Å follow each position.
Fractional coordinates of all 19 atoms:
Nd  0.8015  0.5771  0.4600  4 Hg 3.14-3.34
Nd  0.4600  0.8015  0.5771  4 Hg 3.14-3.34
Nd  0.5771  0.4600  0.8015  4 Hg 3.14-3.34
Nd  0.1985  0.4229  0.5400  4 Hg 3.14-3.34
Nd  0.5400  0.1985  0.4229  4 Hg 3.14-3.34
Nd  0.4229  0.5400  0.1985  4 Hg 3.14-3.34
Nd  0.9729  0.0791  0.3095  1 Fe 2.68
Nd  0.9209  0.6905  0.0271  1 Fe 2.68
Nd  0.6905  0.0271  0.9209  1 Fe 2.68
Nd  0.0271  0.9209  0.6905  1 Fe 2.68
Nd  0.0791  0.3095  0.9729  1 Fe 2.68
Nd  0.3095  0.9729  0.0791  1 Fe 2.68
Fe  0.0000  0.0000  0.0000  6 Nd 2.68
Hg  0.6498  0.8544  0.2614  8 Nd 3.14-3.44
Hg  0.7386  0.3502  0.1456  8 Nd 3.14-3.44
Hg  0.1456  0.7386  0.3502  8 Nd 3.14-3.44
Hg  0.3502  0.1456  0.7386  8 Nd 3.14-3.44
Hg  0.2614  0.6498  0.8544  8 Nd 3.14-3.44
Hg  0.8544  0.2614  0.6498  8 Nd 3.14-3.44

Output
Calculated total energy = -71.2 eV/f.u.
SG = No. 148

=====

Record 3
DFT (PBE) results for an optimized crystal structure of AcNdSe2S.

a = 4.3802 Å, b = 4.3802 Å, c = 15.2948 Å
α = 90.00°, β = 90.00°, γ = 90.00°
Closest atoms and distances in Å follow each position.
Fractional coordinates of all 10 atoms:
Ac  0.5000  0.0000  0.6254  4 S 2.91
Ac  0.0000  0.5000  0.3746  4 S 2.91
Nd  0.5000  0.0000  0.1075  6 Se 2.80-3.10
Nd  0.0000  0.5000  0.8925  6 Se 2.80-3.10
Se  0.0000  0.5000  0.7091  1 Nd 2.80
Se  0.0000  0.5000  0.0944  5 Nd 3.09-3.10
Se  0.5000  0.0000  0.9056  5 Nd 3.09-3.10
Se  0.5000  0.0000  0.2909  1 Nd 2.80
S  0.0000  0.0000  0.5000  4 Ac 2.91, 4 S 3.10
S  0.5000  0.5000  0.5000  4 Ac 2.91, 4 S 3.10

Output
Uncorrected formation energy = -9.180 eV/f.u.
SG = No. 129

=====

Record 4
DFT (PBE) results for an optimized crystal structure of KPuUSe4.

a = 8.6759 Å, b = 8.8078 Å, c = 8.9168 Å
α = 120.41°, β = 90.00°, γ = 119.51°
Closest atoms and distances in Å follow each position.
Fractional coordinates of all 14 atoms:
K  0.8731  0.7461  0.1231  4 Se 3.09-3.11
K  0.1269  0.2539  0.8769  4 Se 3.09-3.11
Pu  0.5000  0.0000  0.5000  6 Se 2.94-2.98
Pu  0.5000  0.0000  0.0000  6 Se 2.94-2.98
U  0.5000  0.5000  0.5000  6 Se 2.82-2.86
U  0.0000  0.5000  0.5000  6 Se 2.82-2.86
Se  0.7368  0.4737  0.6945  2 U 2.86, 1 Pu 2.98, 1 K 3.11
Se  0.3068  0.0499  0.2749  1 U 2.82, 2 Pu 2.94, 1 K 3.09
Se  0.7431  0.0499  0.2749  1 U 2.82, 2 Pu 2.94, 1 K 3.09
Se  0.7368  0.4737  0.2791  2 U 2.86, 1 Pu 2.98, 1 K 3.11
Se  0.2632  0.5263  0.7209  2 U 2.86, 1 Pu 2.98, 1 K 3.11
Se  0.6932  0.9501  0.7251  1 U 2.82, 2 Pu 2.94, 1 K 3.09
Se  0.2569  0.9501  0.7251  1 U 2.82, 2 Pu 2.94, 1 K 3.09
Se  0.2632  0.5263  0.3055  2 U 2.86, 1 Pu 2.98, 1 K 3.11

Output
Uncorrected formation energy = -8.846 eV/f.u.
SG = No. 74

=====

Record 5
DFT (PBE) results for an optimized crystal structure of NaBCl4.

a = 7.2701 Å, b = 6.6390 Å, c = 6.7575 Å
α = 90.00°, β = 90.00°, γ = 88.92°
Closest atoms and distances in Å follow each position.
Fractional coordinates of all 12 atoms:
Na  0.4390  0.7230  0.2500  6 Cl 2.82-2.99
Na  0.5610  0.2770  0.7500  6 Cl 2.82-2.99
B  0.3084  0.2270  0.2500  4 Cl 1.85-1.88
B  0.6916  0.7730  0.7500  4 Cl 1.85-1.88
Cl  0.1507  0.0123  0.2500  1 B 1.85
Cl  0.8493  0.9877  0.7500  1 B 1.85
Cl  0.5538  0.1366  0.2500  1 B 1.87
Cl  0.4462  0.8634  0.7500  1 B 1.87
Cl  0.7345  0.6117  0.9737  1 B 1.88
Cl  0.2655  0.3883  0.4737  1 B 1.88
Cl  0.7345  0.6117  0.5263  1 B 1.88
Cl  0.2655  0.3883  0.0263  1 B 1.88

Output
Uncorrected formation energy = -7.448 eV/f.u.
SG = No. 11
Relative energy among the computed polymorphs = 0.000 eV/atom

=====

Record 6
DFT (PBE) results for an optimized crystal structure of Y3LuNi.

a = 5.3149 Å, b = 5.3149 Å, c = 5.3149 Å
α = 90.00°, β = 90.00°, γ = 90.00°
Closest atoms and distances in Å follow each position.
Fractional coordinates of all 5 atoms:
Y  0.0000  0.5000  0.0000  2 Ni 2.66
Y  0.0000  0.0000  0.5000  2 Ni 2.66
Y  0.5000  0.0000  0.0000  2 Ni 2.66
Ni  0.0000  0.0000  0.0000  6 Y 2.66
Lu  0.5000  0.5000  0.5000  12 Y 3.76

Output
Calculated total energy = -29.7 eV/f.u.
SG = No. 221

=====

Record 7
DFT (PBE) results for an optimized crystal structure of PrLuZr2.

a = 3.9361 Å, b = 3.9361 Å, c = 7.0107 Å
α = 90.00°, β = 90.00°, γ = 90.00°
Closest atoms and distances in Å follow each position.
Fractional coordinates of all 4 atoms:
Pr  0.5000  0.5000  0.5000  8 Zr 3.40, 2 Lu 3.51
Lu  0.5000  0.5000  0.0000  8 Zr 3.18, 2 Pr 3.51
Zr  0.0000  0.0000  0.7793  1 Zr 3.09, 4 Lu 3.18, 4 Pr 3.40
Zr  0.0000  0.0000  0.2207  1 Zr 3.09, 4 Lu 3.18, 4 Pr 3.40

Output
SG = No. 123
Relative energy among the computed polymorphs = 0.071 eV/atom

=====

Record 8
DFT (PBE) results for an optimized crystal structure of Cs2SrCrSi.

a = 6.1966 Å, b = 4.7457 Å, c = 6.1966 Å
α = 90.00°, β = 90.00°, γ = 90.00°
Closest atoms and distances in Å follow each position.
Fractional coordinates of all 5 atoms:
Cs  0.0000  0.0000  0.5000  2 Cr 3.10
Cs  0.5000  0.0000  0.0000  2 Cr 3.10
Sr  0.5000  0.5000  0.5000  8 Cs 3.90
Si  0.0000  0.5000  0.0000  2 Cr 2.37
Cr  0.0000  0.0000  0.0000  2 Si 2.37

Output
Uncorrected formation energy = 3.793 eV/f.u.
SG = No. 123

=====

Record 9
DFT (PBE) results for an optimized crystal structure of KHBr3.

a = 6.4266 Å, b = 6.4266 Å, c = 6.4266 Å
α = 90.00°, β = 90.00°, γ = 90.00°
Closest atoms and distances in Å follow each position.
Fractional coordinates of all 5 atoms:
K  0.0000  0.0000  0.0000  6 Br 3.21
H  0.5000  0.5000  0.5000  12 Br 4.54
Br  0.0000  0.5000  0.0000  2 K 3.21
Br  0.0000  0.0000  0.5000  2 K 3.21
Br  0.5000  0.0000  0.0000  2 K 3.21

Output
SG = No. 221
Relative energy among the computed polymorphs = 1.008 eV/atom

=====

Record 10
DFT (PBE) results for an optimized crystal structure of La2MoPdC.

a = 5.4457 Å, b = 4.6712 Å, c = 5.4457 Å
α = 90.00°, β = 90.00°, γ = 90.00°
Closest atoms and distances in Å follow each position.
Fractional coordinates of all 5 atoms:
Mo  0.0000  0.0000  0.0000  2 Pd 2.34
C  0.5000  0.5000  0.5000  8 La 3.59, 4 Pd 3.85
Pd  0.0000  0.5000  0.0000  2 Mo 2.34
La  0.0000  0.0000  0.5000  2 Mo 2.72
La  0.5000  0.0000  0.0000  2 Mo 2.72

Output
Calculated total energy = -28.5 eV/f.u.
SG = No. 123

=====

Record 11
DFT (PBE) results for an optimized crystal structure of Zn5CuAg4.

a = 3.1734 Å, b = 3.1734 Å, c = 15.4880 Å
α = 90.00°, β = 90.00°, γ = 90.00°
Closest atoms and distances in Å follow each position.
Fractional coordinates of all 10 atoms:
Zn  0.5000  0.5000  0.0865  4 Cu 2.61, 1 Zn 2.68, 4 Ag 2.77
Zn  0.5000  0.5000  0.2952  8 Ag 2.74-2.76
Zn  0.5000  0.5000  0.5000  8 Ag 2.75
Zn  0.5000  0.5000  0.7048  8 Ag 2.74-2.76
Zn  0.5000  0.5000  0.9135  4 Cu 2.61, 1 Zn 2.68, 4 Ag 2.77
Cu  0.0000  0.0000  0.0000  8 Zn 2.61
Ag  0.0000  0.0000  0.1913  8 Zn 2.76-2.77, 1 Cu 2.96
Ag  0.0000  0.0000  0.3972  8 Zn 2.74-2.75
Ag  0.0000  0.0000  0.6028  8 Zn 2.74-2.75
Ag  0.0000  0.0000  0.8087  8 Zn 2.76-2.77, 1 Cu 2.96

Output
Calculated total energy = -22.3 eV/f.u.
SG = No. 123

=====

Record 12
DFT (PBE) results for an optimized crystal structure of Cs2Rb4Na2Hg.

a = 7.8334 Å, b = 9.6406 Å, c = 9.6406 Å
α = 61.79°, β = 88.07°, γ = 88.07°
Closest atoms and distances in Å follow each position.
Fractional coordinates of all 9 atoms:
Cs  0.2837  0.6504  0.6504  8 Rb 4.71-4.99, 4 Na 4.80-5.19
Cs  0.7163  0.3496  0.3496  8 Rb 4.71-4.99, 4 Na 4.80-5.19
Rb  0.2179  0.6628  0.1316  1 Hg 3.67
Rb  0.7821  0.8684  0.3372  1 Hg 3.67
Rb  0.7821  0.3372  0.8684  1 Hg 3.67
Rb  0.2179  0.1316  0.6628  1 Hg 3.67
Na  0.2634  0.1624  0.1624  1 Hg 3.20
Na  0.7366  0.8376  0.8376  1 Hg 3.20
Hg  0.5000  0.0000  0.0000  2 Na 3.20

Output
Calculated total energy = -8.7 eV/f.u.
SG = No. 12